No. 1
DFT (PBE) results for an optimized crystal structure of Ag3BiO4.

Cell: 6.7842 6.7842 3.3178 Å, 90.00 90.00 126.30°
With the nearest neighbours (Å) after each atom.
Atoms (fractional coordinates):
1 Ag 0.0000 0.0000 0.0000  4 O 2.19
2 Ag 0.2422 0.7578 0.0000  4 O 2.22-2.33
3 Ag 0.7578 0.2422 0.0000  4 O 2.22-2.33
4 Bi 0.5000 0.5000 0.5000  8 O 2.53
5 O 0.1675 0.3916 0.0000  3 Ag 2.19-2.33
6 O 0.3916 0.1675 0.0000  3 Ag 2.19-2.33
7 O 0.6084 0.8325 0.0000  3 Ag 2.19-2.33
8 O 0.8325 0.6084 0.0000  3 Ag 2.19-2.33

Energy relative to the elements, uncorrected: -0.31 eV per atom
Polymorph energy (0 for the lowest one): 40 meV per atom
Magnetic moment: 0.0 μB/cell

No. 2
DFT (PBE) results for an optimized crystal structure of AgBiOs2O8.

Cell: 6.4749 6.4749 5.7244 Å, 101.29 101.29 57.95°
With the nearest neighbours (Å) after each atom.
Atoms (fractional coordinates):
1 Ag 0.0000 0.0000 0.0000  6 O 2.40-2.59
2 Bi 0.5000 0.5000 0.5000  6 O 2.32-2.38
3 Os 0.2989 0.2989 0.8476  4 O 1.76-1.85
4 Os 0.7011 0.7011 0.1524  4 O 1.76-1.85
5 O 0.1406 0.1406 0.7431  1 Os 1.76
6 O 0.1842 0.5897 0.7245  1 Os 1.85
7 O 0.3373 0.3373 0.1702  1 Os 1.80
8 O 0.4103 0.8158 0.2755  1 Os 1.85
9 O 0.5897 0.1842 0.7245  1 Os 1.85
10 O 0.6627 0.6627 0.8298  1 Os 1.80
11 O 0.8158 0.4103 0.2755  1 Os 1.85
12 O 0.8594 0.8594 0.2569  1 Os 1.76

Energy relative to the elements, uncorrected: -0.75 eV per atom
Magnetic moment: 2.0 μB/cell

No. 3
DFT (PBE) results for an optimized crystal structure of AgBi2OsO8.

Cell: 4.9776 4.9829 7.1109 Å, 87.85 87.73 88.07°
With the nearest neighbours (Å) after each atom.
Atoms (fractional coordinates):
1 Ag 0.0000 0.0000 0.0000  4 O 2.09-2.31
2 Bi 0.4869 0.4865 0.7541  6 O 2.23-2.40
3 Bi 0.5131 0.5135 0.2459  6 O 2.23-2.40
4 Os 0.0000 0.0000 0.5000  6 O 1.88-1.92
5 O 0.1617 0.1577 0.7091  1 Os 1.92
6 O 0.2015 0.1936 0.3136  1 Os 1.89
7 O 0.2682 0.7243 0.5005  1 Os 1.88
8 O 0.2998 0.6970 0.0002  1 Ag 2.09, 2 Bi 2.23
9 O 0.7002 0.3030 0.9998  1 Ag 2.09, 2 Bi 2.23
10 O 0.7318 0.2757 0.4995  1 Os 1.88
11 O 0.7985 0.8064 0.6864  1 Os 1.89
12 O 0.8383 0.8423 0.2909  1 Os 1.92

Energy relative to the elements, uncorrected: -0.84 eV per atom
Magnetic moment: 0.0 μB/cell

No. 4
DFT (PBE) results for an optimized crystal structure of Ag2BiOsO6.

Cell: 5.7629 5.7629 5.7600 Å, 119.75 119.75 61.60°
With the nearest neighbours (Å) after each atom.
Atoms (fractional coordinates):
1 Ag 0.2451 0.2451 0.2294  3 O 2.24-2.44
2 Ag 0.7549 0.7549 0.7706  3 O 2.24-2.44
3 Bi 0.0000 0.0000 0.5000  6 O 2.36-2.40
4 Os 0.5000 0.5000 0.0000  6 O 1.91-1.92
5 O 0.2020 0.6592 0.1468  1 Os 1.92
6 O 0.2828 0.2828 0.6516  1 Os 1.91
7 O 0.3408 0.7980 0.8532  1 Os 1.92
8 O 0.6592 0.2020 0.1468  1 Os 1.92
9 O 0.7172 0.7172 0.3484  1 Os 1.91
10 O 0.7980 0.3408 0.8532  1 Os 1.92

Energy relative to the elements, uncorrected: -0.68 eV per atom
Magnetic moment: 0.5 μB/cell

No. 5
DFT (PBE) results for an optimized crystal structure of AgBiP2O.

Cell: 5.3491 5.3491 4.1215 Å, 90.00 90.00 90.00°
With the nearest neighbours (Å) after each atom.
Atoms (fractional coordinates):
1 Ag 0.0000 0.0000 0.0000  8 P 3.38
2 Bi 0.5000 0.5000 0.5000  2 O 2.06
3 P 0.0000 0.5000 0.5000  2 Bi 2.67
4 P 0.5000 0.0000 0.5000  2 Bi 2.67
5 O 0.5000 0.5000 0.0000  2 Bi 2.06

Energy relative to the elements, uncorrected: 0.83 eV per atom
Polymorph energy (0 for the lowest one): 191 meV per atom
Magnetic moment: 0.0 μB/cell

No. 6
DFT (PBE) results for an optimized crystal structure of AgBiP2O.

Cell: 4.9392 4.9392 4.0032 Å, 90.00 90.00 90.00°
With the nearest neighbours (Å) after each atom.
Atoms (fractional coordinates):
1 Ag 0.0000 0.0000 0.0000  2 O 2.00
2 Bi 0.5000 0.5000 0.5000  8 P 3.18, 4 O 3.49
3 P 0.0000 0.5000 0.0000  2 Ag 2.47
4 P 0.5000 0.0000 0.0000  2 Ag 2.47
5 O 0.0000 0.0000 0.5000  2 Ag 2.00

Energy relative to the elements, uncorrected: 0.64 eV per atom
Polymorph energy (0 for the lowest one): 0 meV per atom
Magnetic moment: 0.0 μB/cell

The highest magnetic moment belongs to which entry?
AgBiOs2O8

Which value of energy relative to the elements, uncorrected does entry 5 give?
0.83 eV per atom